Here is crystalline Cu2SiNi2 at its relaxed geometry from the Alexandria database. Energies are from PBE-GGA. Values from VASP.

Cell and atoms, written as Quantum ESPRESSO input:
```
&SYSTEM
  ibrav = 0, nat = 10, ntyp = 3
/
ATOMIC_SPECIES
Si 28.09 Si.upf
Ni 58.69 Ni.upf
Cu 63.55 Cu.upf
CELL_PARAMETERS angstrom
5.988 0.000 0.000
0.000 5.988 0.000
0.000 0.000 3.399
ATOMIC_POSITIONS angstrom
Si 0.000 0.000 0.000
Si 2.994 2.994 0.000
Ni 2.023 0.971 1.700
Ni 0.971 3.965 1.700
Ni 3.965 5.017 1.700
Ni 5.017 2.023 1.700
Cu 2.163 5.157 0.000
Cu 5.157 3.824 0.000
Cu 0.830 2.163 0.000
Cu 3.824 0.830 0.000
```

Output
- Formation energy without anion corrections: 0.57 eV per formula unit
- Total moment: 0.000 μB per atom
- N(E_F): 7.91 states/eV/cell
- Distance to the lowest polymorph of the same formula: 0.92 eV/f.u.
- Space group: P4/mbm (127)
- Calculated density: 7.428 g cm⁻³